This record from the Alexandria database describes an optimized crystal structure of NaTlGa. The functional is PBE.

POSCAR file:
```
NaTlGa
1.0
2.4241 1.3996 8.5110
-2.4241 1.3996 8.5110
0.0000 -2.7992 8.5110
Na Tl Ga
2 2 2
Direct
0.2092 0.2092 0.2092
0.7908 0.7908 0.7908
0.0642 0.0642 0.0642
0.9358 0.9358 0.9358
0.3405 0.3405 0.3405
0.6595 0.6595 0.6595
```

Computed properties:
- E above lowest polymorph (eV per formula unit) = 0.26
- symmetry = R-3m (166)

***

This record from the Alexandria database describes an optimized crystal structure of Na2Tl2Ga3. The functional is PBE.

POSCAR file:
```
Na2Tl2Ga3
1.0
6.0661 -2.3983 0.0000
6.0661 2.3983 0.0000
-3.1849 0.0000 6.1830
Na Tl Ga
2 2 3
Direct
0.1408 0.1408 0.2721
0.8592 0.8592 0.7279
0.1686 0.1686 0.7684
0.8314 0.8314 0.2316
0.4302 0.4302 0.0914
0.5000 0.5000 0.5000
0.5698 0.5698 0.9086
```

Computed properties:
- symmetry = C2/m (12)

***

This record from the Alexandria database describes an optimized crystal structure of Na6Tl5Ga. The functional is PBE.

POSCAR file:
```
Na6Tl5Ga
1.0
5.4254 -7.5405 0.0000
5.4254 7.5405 0.0000
-1.7784 0.0000 4.0609
Na Tl Ga
6 5 1
Direct
0.0814 0.4142 0.2479
0.2494 0.2494 0.7500
0.4142 0.0814 0.2479
0.5858 0.9186 0.7521
0.7506 0.7506 0.2500
0.9186 0.5858 0.7521
0.1476 0.8524 0.5000
0.3332 0.6668 0.0000
0.5000 0.5000 0.5000
0.6668 0.3332 0.0000
0.8524 0.1476 0.5000
0.0000 0.0000 0.0000
```

Computed properties:
- symmetry = C2/m (12)

***

This record from the Alexandria database describes an optimized crystal structure of NaTl2Ga. The functional is PBE.

POSCAR file:
```
NaTl2Ga
1.0
1.6966 0.9795 11.5841
-1.6966 0.9795 11.5841
0.0000 -1.9590 11.5841
Na Tl Ga
1 2 1
Direct
0.0000 0.0000 0.0000
0.0919 0.0919 0.0919
0.9081 0.9081 0.9081
0.5000 0.5000 0.5000
```

Computed properties:
- symmetry = R-3m (166)

***

This record from the Alexandria database describes an optimized crystal structure of Na2Tl2Ga. The functional is PBE.

POSCAR file:
```
Na2Tl2Ga
1.0
-3.2975 7.3096 2.8886
3.2975 -7.3096 2.8886
3.2975 7.3096 -2.8886
Na Tl Ga
4 4 2
Direct
0.1016 0.1443 0.2458
0.3984 0.6443 0.0427
0.6016 0.3557 0.9573
0.8984 0.8557 0.7542
0.1776 0.6538 0.8315
0.3224 0.1538 0.4762
0.6776 0.8462 0.5238
0.8224 0.3462 0.1685
0.2500 0.7500 0.5000
0.7500 0.2500 0.5000
```

Computed properties:
- E above lowest polymorph (eV per formula unit) = 0.04
- symmetry = Ibam (72)

***

This record from the Alexandria database describes an optimized crystal structure of Na2Tl2Ga. The functional is PBE.

POSCAR file:
```
Na2Tl2Ga
1.0
8.2181 0.0000 0.0000
0.0000 8.2181 0.0000
0.0000 0.0000 4.1080
Na Tl Ga
4 4 2
Direct
0.1391 0.3609 0.0000
0.3609 0.8609 0.0000
0.6391 0.1391 0.0000
0.8609 0.6391 0.0000
0.1649 0.6649 0.5000
0.3351 0.1649 0.5000
0.6649 0.8351 0.5000
0.8351 0.3351 0.5000
0.0000 0.0000 0.0000
0.5000 0.5000 0.0000
```

Computed properties:
- E above lowest polymorph (eV per formula unit) = 0.59
- symmetry = P4/mbm (127)

***

This record from the Alexandria database describes an optimized crystal structure of Na7Tl3Ga. The functional is PBE.

POSCAR file:
```
Na7Tl3Ga
1.0
7.0127 0.0000 0.0000
-3.5063 6.0732 0.0000
0.0000 0.0000 8.0527
Na Tl Ga
7 3 1
Direct
0.0000 0.0000 0.0000
0.1686 0.3372 0.6155
0.1686 0.8314 0.6155
0.5035 0.0071 0.9760
0.5035 0.4965 0.9760
0.6628 0.8314 0.6155
0.9929 0.4965 0.9760
0.3471 0.1736 0.3100
0.8264 0.1736 0.3100
0.8264 0.6529 0.3100
0.6667 0.3333 0.6289
```

Computed properties:
- E above lowest polymorph (eV per formula unit) = 0.51
- symmetry = P3m1 (156)

***

This record from the Alexandria database describes an optimized crystal structure of NaTlGa. The functional is PBE.

POSCAR file:
```
NaTlGa
1.0
4.9772 0.0000 0.0000
2.4878 5.2576 0.0000
0.0030 2.7913 5.8418
Na Tl Ga
2 2 2
Direct
0.0000 0.0000 0.0000
0.2814 0.4361 0.6154
0.3542 0.2924 0.1651
0.6313 0.7375 0.7662
0.6717 0.6561 0.2856
0.9534 0.0948 0.4809
```

Computed properties:
- E above lowest polymorph (eV per formula unit) = 0.09
- symmetry = P1 (1)

***

This record from the Alexandria database describes an optimized crystal structure of NaTl2Ga6. The functional is PBE.

POSCAR file:
```
NaTl2Ga6
1.0
6.6837 -3.8751 0.0000
6.6837 3.8751 0.0000
-0.0028 0.0000 4.1317
Na Tl Ga
1 2 6
Direct
0.0000 0.0000 0.0000
0.3307 0.3307 0.0003
0.6693 0.6693 0.9997
0.9999 0.3345 0.5054
0.0001 0.6655 0.4946
0.3345 0.9999 0.5054
0.3354 0.6646 0.5000
0.6655 0.0001 0.4946
0.6646 0.3354 0.5000
```

Computed properties:
- symmetry = C2/m (12)

***

This record from the Alexandria database describes an optimized crystal structure of Na2Tl8Ga. The functional is PBE.

POSCAR file:
```
Na2Tl8Ga
1.0
5.0985 0.0000 0.0000
0.0000 5.0985 0.0000
0.0000 0.0000 12.3529
Na Tl Ga
2 8 1
Direct
0.0000 0.0000 0.1822
0.0000 0.0000 0.8178
0.0000 0.5000 0.0000
0.0000 0.5000 0.3647
0.0000 0.5000 0.6353
0.5000 0.0000 0.0000
0.5000 0.0000 0.3647
0.5000 0.0000 0.6353
0.5000 0.5000 0.1809
0.5000 0.5000 0.8191
0.0000 0.0000 0.5000
```

Computed properties:
- symmetry = P4/mmm (123)

***

This record from the Alexandria database describes an optimized crystal structure of NaTl2Ga. The functional is PBE.

POSCAR file:
```
NaTl2Ga
1.0
4.8601 0.0000 0.0000
0.0000 4.8601 0.0000
0.0000 0.0000 4.4057
Na Tl Ga
1 2 1
Direct
0.0000 0.0000 0.0000
0.0000 0.5000 0.5000
0.5000 0.0000 0.5000
0.5000 0.5000 0.0000
```

Computed properties:
- symmetry = P4/mmm (123)

***

This record from the Alexandria database describes an optimized crystal structure of Na2Tl2Ga. The functional is PBE.

POSCAR file:
```
Na2Tl2Ga
1.0
-2.1232 2.1232 7.8950
2.1232 -2.1232 7.8950
2.1232 2.1232 -7.8950
Na Tl Ga
2 2 1
Direct
0.2500 0.7500 0.5000
0.7500 0.2500 0.5000
0.0955 0.0955 0.0000
0.9045 0.9045 0.0000
0.5000 0.5000 0.0000
```

Computed properties:
- E above lowest polymorph (eV per formula unit) = 0.92
- symmetry = I4/mmm (139)

***

Table of N(E_F) (states/eV per atom), in record order: 0.59; 0.43; 0.42; 0.61; 0.38; 0.39; 0.54; 0.40; 0.61; 0.29; 0.46; 0.46
Table of energy relative to the elements (meV/atom), in record order: 12; -50; -74; 89; -48; 62; 4; -44; 20; -37; -16; 127
Table of VASP energy (eV/atom), in record order: -2.225; -2.400; -1.972; -2.181; -2.128; -2.018; -1.756; -2.281; -2.671; -2.273; -2.286; -1.952